Entry 1:
Entry from the Alexandria database: crystalline Sc2ZnSi3Pt4 at its relaxed geometry (GGA-PBE).

Output
* SG: P-4m2 (115)
* calculated density: 10.1 g/cm³
* raw formation energy: -911 meV per atom
* D(E_F): 5.9 states/eV per cell

Unit cell a=4.026 b=4.026 c=10.353 alpha=90.00 beta=90.00 gamma=90.00
Positions (direct):
Sc: 0.000 0.500 0.246
Sc: 0.500 0.000 0.754
Zn: 0.500 0.500 0.000
Si: 0.000 0.000 0.000
Si: 0.000 0.500 0.636
Si: 0.500 0.000 0.364
Pt: 0.000 0.000 0.500
Pt: 0.000 0.500 0.857
Pt: 0.500 0.000 0.143
Pt: 0.500 0.500 0.500

=====

Entry 2:
Entry from the Alexandria database: crystalline SmScPt2 at its relaxed geometry (GGA-PBE).

Output
* SG: R-3m (166)
* energy of formation: -1.1426 eV/atom
* calculated density: 11.4 g/cm³
* energy above the lowest structure with this stoichiometry: 0.133 eV per formula unit
* D(E_F): 2.5 states/eV per cell

Unit cell a=5.332 b=5.332 c=5.332 alpha=51.24 beta=51.24 gamma=51.24
Positions (direct):
Sm: 0.000 0.000 0.000
Sc: 0.500 0.500 0.500
Pt: 0.221 0.221 0.221
Pt: 0.779 0.779 0.779

=====

Entry 3:
Entry from the Alexandria database: crystalline SmSc2Pt at its relaxed geometry (GGA-PBE).

Output
* SG: Cmcm (63)
* energy of formation: -0.6925 eV/atom
* calculated density: 7.5 g/cm³
* energy above the lowest structure with this stoichiometry: 0.000 eV per formula unit
* D(E_F): 11.5 states/eV per cell

Unit cell a=6.194 b=6.194 c=7.351 alpha=90.00 beta=90.00 gamma=136.63
Positions (direct):
Sm: 0.053 0.947 0.750
Sm: 0.947 0.053 0.250
Sc: 0.345 0.655 0.542
Sc: 0.345 0.655 0.958
Sc: 0.655 0.345 0.042
Sc: 0.655 0.345 0.458
Pt: 0.200 0.800 0.250
Pt: 0.800 0.200 0.750

=====

Entry 4:
Entry from the Alexandria database: crystalline SmSc2Pt9 at its relaxed geometry (GGA-PBE).

Output
* SG: P4/mmm (123)
* energy of formation: -1.0102 eV/atom
* calculated density: 16.5 g/cm³
* D(E_F): 11.0 states/eV per cell

Unit cell a=4.065 b=4.065 c=12.176 alpha=90.00 beta=90.00 gamma=90.00
Positions (direct):
Sm: 0.000 0.000 0.000
Sc: 0.000 0.000 0.337
Sc: 0.000 0.000 0.663
Pt: 0.000 0.500 0.178
Pt: 0.000 0.500 0.500
Pt: 0.000 0.500 0.822
Pt: 0.500 0.000 0.178
Pt: 0.500 0.000 0.500
Pt: 0.500 0.000 0.822
Pt: 0.500 0.500 0.000
Pt: 0.500 0.500 0.339
Pt: 0.500 0.500 0.661